! Re4Pt3, relaxed, DFT PBE-GGA; values from VASP
! - energy above the lowest structure with this stoichiometry (meV per atom) = 0
! - symmetry = I4/mmm
! - calculated formation energy (meV/atom) = 158
&SYSTEM
  ibrav = 0, nat = 7, ntyp = 2
/
ATOMIC_SPECIES
Re 186.21 Re.upf
Pt 195.08 Pt.upf
CELL_PARAMETERS angstrom
-1.657 1.657 9.810
1.657 -1.657 9.810
1.657 1.657 -9.810
ATOMIC_POSITIONS crystal
Re 0.860 0.860 0.000
Re 0.571 0.571 0.000
Re 0.429 0.429 0.000
Re 0.140 0.140 0.000
Pt 0.000 0.000 0.000
Pt 0.715 0.715 0.000
Pt 0.285 0.285 0.000


! RePt2, relaxed, DFT PBE-GGA; values from VASP
! - energy above the lowest structure with this stoichiometry (meV per atom) = 666
! - symmetry = P6_3/mmc
! - calculated formation energy (meV/atom) = 519
&SYSTEM
  ibrav = 0, nat = 12, ntyp = 2
/
ATOMIC_SPECIES
Re 186.21 Re.upf
Pt 195.08 Pt.upf
CELL_PARAMETERS angstrom
-3.800 -3.463 -0.087
0.820 -4.668 -1.994
2.478 -2.915 7.843
ATOMIC_POSITIONS crystal
Re 0.667 0.667 0.010
Re 0.667 0.667 0.490
Re 0.333 0.333 0.510
Re 0.333 0.333 0.990
Pt 0.000 0.000 0.000
Pt 0.000 0.000 0.500
Pt 0.831 0.338 0.750
Pt 0.338 0.831 0.750
Pt 0.169 0.169 0.250
Pt 0.831 0.831 0.750
Pt 0.662 0.169 0.250
Pt 0.169 0.662 0.250


! Re3Pt5, relaxed, DFT PBE-GGA; values from VASP
! - energy above the lowest structure with this stoichiometry (meV per atom) = 434
! - symmetry = P6_3/mcm
! - calculated formation energy (meV/atom) = 363
&SYSTEM
  ibrav = 0, nat = 16, ntyp = 2
/
ATOMIC_SPECIES
Re 186.21 Re.upf
Pt 195.08 Pt.upf
CELL_PARAMETERS angstrom
-1.830 3.395 6.684
-7.262 -0.260 2.596
1.021 -4.239 2.433
ATOMIC_POSITIONS crystal
Re 0.584 0.415 0.750
Re 0.416 0.584 0.250
Re 0.416 0.000 0.750
Re 0.000 0.416 0.250
Re 0.585 0.000 0.250
Re 0.000 0.585 0.750
Pt 0.791 0.209 0.250
Pt 0.209 0.791 0.750
Pt 0.209 0.000 0.250
Pt 0.000 0.209 0.750
Pt 0.667 0.667 0.000
Pt 0.667 0.667 0.500
Pt 0.333 0.333 0.000
Pt 0.333 0.333 0.500
Pt 0.791 0.000 0.750
Pt 0.000 0.791 0.250


! RePt2, relaxed, DFT PBE-GGA; values from VASP
! - energy above the lowest structure with this stoichiometry (meV per atom) = 98
! - symmetry = Cmcm
! - calculated formation energy (meV/atom) = -49
&SYSTEM
  ibrav = 0, nat = 6, ntyp = 2
/
ATOMIC_SPECIES
Re 186.21 Re.upf
Pt 195.08 Pt.upf
CELL_PARAMETERS angstrom
1.391 -7.264 0.000
1.391 7.264 0.000
0.000 0.000 4.525
ATOMIC_POSITIONS crystal
Re 0.886 0.114 0.250
Re 0.114 0.886 0.750
Pt 0.221 0.779 0.250
Pt 0.449 0.551 0.750
Pt 0.551 0.449 0.250
Pt 0.779 0.221 0.750